Entry 1:
Here is HfBeAs2Br after structural relaxation from Alexandria via LeMat-Bulk. Energies are from GGA-PBE.

Structure (POSCAR):
```
HfBeAs2Br
1.0
4.479 0.000 0.000
0.000 4.479 0.000
0.000 0.000 4.820
Hf Be As Br
1 1 2 1
Cartesian
0.000 0.000 0.000
2.240 2.240 2.410
0.000 2.240 2.410
2.240 0.000 2.410
2.240 2.240 0.000
```

## Properties
Space group   P4/mmm
Density   7.2 g/cm3

Entry 2:
Here is BeHgAsBr2 after structural relaxation from Alexandria via LeMat-Bulk. Energies are from GGA-PBE.

Structure (POSCAR):
```
BeHgAsBr2
1.0
5.599 0.000 0.000
0.000 5.599 0.000
0.000 0.000 5.334
Be Hg As Br
1 1 1 2
Cartesian
0.000 0.000 0.000
2.800 2.800 2.667
2.800 2.800 0.000
0.000 2.800 2.667
2.800 0.000 2.667
```

## Properties
Space group   P4/mmm
Density   4.4 g/cm3

Entry 3:
Here is BeHgAs2Br after structural relaxation from Alexandria via LeMat-Bulk. Energies are from GGA-PBE.

Structure (POSCAR):
```
BeHgAs2Br
1.0
4.662 0.000 0.000
0.000 4.662 0.000
0.000 0.000 4.942
Be Hg As Br
1 1 2 1
Cartesian
0.000 0.000 0.000
2.331 2.331 2.471
0.000 2.331 0.000
2.331 0.000 0.000
0.000 0.000 2.471
```

## Properties
Space group   P4/mmm
Density   6.8 g/cm3

Entry 4:
Here is BeHgAsBr2 after structural relaxation from Alexandria via LeMat-Bulk. Energies are from GGA-PBE.

Structure (POSCAR):
```
BeHgAsBr2
1.0
4.756 0.000 0.000
0.000 4.756 0.000
0.000 0.000 5.013
Be Hg As Br
1 1 1 2
Cartesian
0.000 0.000 0.000
2.378 2.378 2.507
0.000 0.000 2.507
0.000 2.378 0.000
2.378 0.000 0.000
```

## Properties
Space group   P4/mmm
Density   6.5 g/cm3

Entry 5:
Here is BeHgAs2Br after structural relaxation from Alexandria via LeMat-Bulk. Energies are from GGA-PBE.

Structure (POSCAR):
```
BeHgAs2Br
1.0
5.220 0.000 0.000
0.000 5.220 0.000
0.000 0.000 5.719
Be Hg As Br
1 1 2 1
Cartesian
0.000 0.000 0.000
2.610 2.610 2.859
0.000 2.610 2.859
2.610 0.000 2.859
2.610 2.610 0.000
```

## Properties
Space group   P4/mmm
Density   4.7 g/cm3

Entry 6:
Here is BeAs2IBr after structural relaxation from Alexandria via LeMat-Bulk. Energies are from GGA-PBE.

Structure (POSCAR):
```
BeAs2IBr
1.0
4.872 0.000 0.000
0.000 4.872 0.000
0.000 0.000 4.622
Be As I Br
1 2 1 1
Cartesian
0.000 0.000 0.000
0.000 2.436 0.000
2.436 0.000 0.000
2.436 2.436 2.311
0.000 0.000 2.311
```

## Properties
Space group   P4/mmm
Density   5.5 g/cm3

Entry 7:
Here is BeAsIBr2 after structural relaxation from Alexandria via LeMat-Bulk. Energies are from GGA-PBE.

Structure (POSCAR):
```
BeAsIBr2
1.0
5.836 0.000 0.000
0.000 5.836 0.000
0.000 0.000 5.725
Be As I Br
1 1 1 2
Cartesian
0.000 0.000 0.000
2.918 2.918 0.000
2.918 2.918 2.862
0.000 2.918 2.862
2.918 0.000 2.862
```

## Properties
Space group   P4/mmm
Density   3.2 g/cm3

Entry 8:
Here is BeAs2IBr after structural relaxation from Alexandria via LeMat-Bulk. Energies are from GGA-PBE.

Structure (POSCAR):
```
BeAs2IBr
1.0
5.514 0.000 0.000
0.000 5.514 0.000
0.000 0.000 5.741
Be As I Br
1 2 1 1
Cartesian
0.000 0.000 0.000
0.000 2.757 2.871
2.757 0.000 2.871
2.757 2.757 2.871
2.757 2.757 0.000
```

## Properties
Space group   P4/mmm
Density   3.5 g/cm3

Entry 9:
Here is BeAsIBr2 after structural relaxation from Alexandria via LeMat-Bulk. Energies are from GGA-PBE.

Structure (POSCAR):
```
BeAsIBr2
1.0
4.505 0.000 0.000
0.000 4.505 0.000
0.000 0.000 6.651
Be As I Br
1 1 1 2
Cartesian
0.000 0.000 0.000
0.000 0.000 3.325
2.253 2.253 3.325
0.000 2.253 0.000
2.253 0.000 0.000
```

## Properties
Space group   P4/mmm
Density   4.6 g/cm3

Entry 10:
Here is BeAsIrBr2 after structural relaxation from Alexandria via LeMat-Bulk. Energies are from GGA-PBE.

Structure (POSCAR):
```
BeAsIrBr2
1.0
4.575 0.000 0.000
0.000 4.575 0.000
0.000 0.000 4.619
Be As Ir Br
1 1 1 2
Cartesian
0.000 0.000 0.000
0.000 0.000 2.309
2.288 2.288 2.309
0.000 2.288 0.000
2.288 0.000 0.000
```

## Properties
Space group   P4/mmm
Density   7.5 g/cm3

Entry 11:
Here is BeAsIrBr2 after structural relaxation from Alexandria via LeMat-Bulk. Energies are from GGA-PBE.

Structure (POSCAR):
```
BeAsIrBr2
1.0
5.298 0.000 0.000
0.000 5.298 0.000
0.000 0.000 4.628
Be As Ir Br
1 1 1 2
Cartesian
0.000 0.000 0.000
2.649 2.649 0.000
2.649 2.649 2.314
0.000 2.649 2.314
2.649 0.000 2.314
```

## Properties
Space group   P4/mmm
Density   5.6 g/cm3

Entry 12:
Here is LaBeAsBr2 after structural relaxation from Alexandria via LeMat-Bulk. Energies are from GGA-PBE.

Structure (POSCAR):
```
LaBeAsBr2
1.0
5.761 0.000 0.000
0.000 5.761 0.000
0.000 0.000 6.013
La Be As Br
1 1 1 2
Cartesian
0.000 0.000 0.000
2.880 2.880 3.007
0.000 0.000 3.007
0.000 2.880 0.000
2.880 0.000 0.000
```

## Properties
Space group   P4/mmm
Density   3.2 g/cm3

Number 1: polymorph energy (0 for the lowest one) 0 meV per atom, DFT total energy -23.0 eV per cell, uncorrected formation energy 0.324 eV/atom. Number 2: polymorph energy (0 for the lowest one) 748 meV per atom, DFT total energy -7.5 eV per cell, uncorrected formation energy 0.909 eV/atom. Number 3: polymorph energy (0 for the lowest one) 0 meV per atom, DFT total energy -12.8 eV per cell, uncorrected formation energy 0.440 eV/atom. Number 4: polymorph energy (0 for the lowest one) 0 meV per atom, DFT total energy -11.2 eV per cell, uncorrected formation energy 0.161 eV/atom. Number 5: polymorph energy (0 for the lowest one) 850 meV per atom, DFT total energy -8.5 eV per cell, uncorrected formation energy 1.291 eV/atom. Number 6: polymorph energy (0 for the lowest one) 0 meV per atom, DFT total energy -14.1 eV per cell, uncorrected formation energy 0.422 eV/atom. Number 7: polymorph energy (0 for the lowest one) 957 meV per atom, DFT total energy -7.8 eV per cell, uncorrected formation energy 1.097 eV/atom. Number 8: polymorph energy (0 for the lowest one) 1065 meV per atom, DFT total energy -8.8 eV per cell, uncorrected formation energy 1.487 eV/atom. Number 9: polymorph energy (0 for the lowest one) 0 meV per atom, DFT total energy -12.6 eV per cell, uncorrected formation energy 0.140 eV/atom. Number 10: polymorph energy (0 for the lowest one) 179 meV per atom, DFT total energy -15.7 eV per cell, uncorrected formation energy 0.980 eV/atom. Number 11: polymorph energy (0 for the lowest one) 0 meV per atom, DFT total energy -16.6 eV per cell, uncorrected formation energy 0.801 eV/atom. Number 12: polymorph energy (0 for the lowest one) 639 meV per atom, DFT total energy -17.0 eV per cell, uncorrected formation energy -0.071 eV/atom.